Record 1
Density functional theory data (PBE-GGA) for crystalline ErThGa4 at its relaxed geometry.

Unit cell a=7.927 b=7.927 c=7.927 alpha=149.21 beta=149.21 gamma=44.10
Atoms (fractional coordinates):
Er: 0.000 0.000 0.000
Th: 0.250 0.750 0.500
Ga: 0.418 0.418 0.000
Ga: 0.582 0.582 0.000
Ga: 0.666 0.166 0.500
Ga: 0.834 0.334 0.500

Computed properties:
**Electronic total energy**: -27.79 eV/f.u.
**DOS(E_F)**: 1.72 states/eV/cell
**Magnetic moment**: 0.000 μB per atom

=====

Record 2
Density functional theory data (PBE-GGA) for crystalline TcOs at its relaxed geometry.

Unit cell a=3.892 b=3.892 c=5.184 alpha=90.00 beta=90.00 gamma=120.00
Atoms (fractional coordinates):
Tc: 0.000 0.000 0.000
Tc: 0.000 0.000 0.500
Os: 0.333 0.667 0.250
Os: 0.667 0.333 0.750

Computed properties:
**Electronic total energy**: -19.59 eV/f.u.
**DOS(E_F)**: 4.62 states/eV/cell
**Magnetic moment**: 0.000 μB per atom

=====

For the records above, the corresponding ΔH_f (0 K) values read -0.62, 1.00 eV/atom.